A plane-wave DFT calculation with GGA+U was carried out for LiV6O11F after structural relaxation.

Calculated values
V in Å³/f.u.: 198.75
Mass density in g cm⁻³: 4.2
Electronic total energy in eV per atom: -7.47
ΔE to the lowest computed polymorph in meV per atom: 3
Space-group type: P1

a = 4.6799 Å, b = 4.7126 Å, c = 9.0152 Å
α = 90.16°, β = 90.17°, γ = 91.57°
Element x y z (fractional)
Li1 0.0000 0.0000 0.0000
V1 0.0003 0.4996 0.7474
V2 0.4695 0.0280 0.5759
V3 0.4939 0.0082 0.9049
V4 0.5313 0.9625 0.2493
V5 0.9757 0.5198 0.4310
V6 0.9930 0.5029 0.0805
O1 0.1980 0.3013 0.5748
O2 0.2119 0.2888 0.9145
O3 0.3000 0.8030 0.4113
O4 0.3001 0.8090 0.0818
O5 0.3073 0.8049 0.7422
O6 0.6944 0.1941 0.4114
O7 0.6981 0.1883 0.7424
O8 0.7019 0.1849 0.0830
O9 0.7942 0.7007 0.5694
O10 0.7981 0.6947 0.2535
O11 0.7992 0.7005 0.9160
F1 0.1961 0.3031 0.2523